[1]
Material: ZrHgCl2
Method: DFT, SCAN
State: PBEsol geometry

Properties
* symmetry: Imm2

a = 3.159 Å, b = 4.343 Å, c = 13.575 Å
α = 90.00°, β = 90.00°, γ = 90.00°
Fractional coordinates of all 8 atoms:
Zr  0.000  0.000  0.000
Zr  0.500  0.500  0.500
Hg  0.000  0.500  0.697
Hg  0.500  0.000  0.197
Cl  0.000  0.000  0.528
Cl  0.000  0.500  0.354
Cl  0.500  0.000  0.854
Cl  0.500  0.500  0.028


[2]
Material: ZrHgCl
Method: DFT, SCAN
State: PBEsol geometry

Properties
* symmetry: P-6m2

a = 4.502 Å, b = 4.502 Å, c = 3.457 Å
α = 90.00°, β = 90.00°, γ = 120.00°
Fractional coordinates of all 3 atoms:
Zr  0.000  0.000  0.000
Hg  0.333  0.667  0.500
Cl  0.667  0.333  0.000


[3]
Material: ZrHgCl2
Method: DFT, SCAN
State: PBEsol geometry

Properties
* symmetry: C2/m

a = 6.220 Å, b = 9.166 Å, c = 3.224 Å
α = 90.00°, β = 118.11°, γ = 90.00°
Fractional coordinates of all 8 atoms:
Zr  0.000  0.000  0.000
Zr  0.500  0.500  0.000
Hg  0.000  0.500  0.000
Hg  0.500  0.000  0.000
Cl  0.250  0.250  0.000
Cl  0.250  0.750  0.000
Cl  0.750  0.250  0.000
Cl  0.750  0.750  0.000


The evaluated calculated total energy for the records listed, in turn: -29.6643, -36.0979, -29.3019 eV/atom.
The evaluated ΔE to the lowest computed polymorph for the records listed, in turn: 30.75, 0.00, 65.72 kJ per mole of atoms.
The evaluated formation energy from raw total energies for the records listed, in turn: -92.5, -46.7, -57.6 kJ/mol of atoms.